Computed, not measured: an optimized crystal structure of NaAlSiPd at the PBE level of DFT.

a = 4.4935 Å, b = 4.4935 Å, c = 4.4935 Å
α = 60.00°, β = 60.00°, γ = 60.00°
Closest atoms and distances in Å follow each position.
Fractional positions:
1 Si 0.2500 0.2500 0.2500  4 Pd 2.75, 4 Al 2.75
2 Al 0.0000 0.0000 0.0000  4 Si 2.75, 4 Na 2.75
3 Pd 0.5000 0.5000 0.5000  4 Si 2.75, 4 Na 2.75
4 Na 0.7500 0.7500 0.7500  4 Al 2.75, 4 Pd 2.75

Output
Distance to the lowest polymorph of the same formula (eV/atom): 0.094

***

Computed, not measured: an optimized crystal structure of YBeReW at the PBE level of DFT.

a = 4.5245 Å, b = 4.5245 Å, c = 4.5245 Å
α = 60.00°, β = 60.00°, γ = 60.00°
Closest atoms and distances in Å follow each position.
Fractional positions:
1 Y 0.0000 0.0000 0.0000  4 Be 2.77, 4 W 2.77
2 W 0.2500 0.2500 0.2500  4 Re 2.77, 4 Y 2.77
3 Be 0.7500 0.7500 0.7500  4 Re 2.77, 4 Y 2.77
4 Re 0.5000 0.5000 0.5000  4 W 2.77, 4 Be 2.77

Output
Distance to the lowest polymorph of the same formula (eV/atom): 0.000

***

Computed, not measured: an optimized crystal structure of TaInF6 at the PBE level of DFT.

a = 5.0693 Å, b = 5.0716 Å, c = 5.7575 Å
α = 90.28°, β = 115.83°, γ = 119.81°
Closest atoms and distances in Å follow each position.
Fractional positions:
1 F 0.1887 0.6603 0.2715  1 Ta 1.91
2 F 0.2544 0.9194 0.7238  1 Ta 1.91
3 F 0.8113 0.3397 0.7285  1 Ta 1.91
4 F 0.3899 0.4725 0.7237  1 Ta 1.91
5 F 0.7456 0.0806 0.2762  1 Ta 1.91
6 F 0.6101 0.5275 0.2763  1 Ta 1.91
7 In 0.0000 0.0000 0.0000  6 F 2.58-2.59
8 Ta 0.0000 0.5000 0.5000  6 F 1.91

***

Computed, not measured: an optimized crystal structure of SmGa2AgPd at the PBE level of DFT.

a = 4.3042 Å, b = 4.3042 Å, c = 10.8167 Å
α = 90.00°, β = 90.00°, γ = 90.00°
Closest atoms and distances in Å follow each position.
Fractional positions:
1 Ag 0.5000 0.0000 0.6433  5 Ga 2.53-2.65
2 Ag 0.0000 0.5000 0.3567  5 Ga 2.53-2.65
3 Pd 0.5000 0.5000 0.0000  4 Ga 2.53
4 Pd 0.0000 0.0000 0.0000  4 Ga 2.53
5 Ga 0.5000 0.0000 0.8773  4 Pd 2.53, 1 Ag 2.53
6 Ga 0.0000 0.0000 0.5000  4 Ag 2.65
7 Ga 0.5000 0.5000 0.5000  4 Ag 2.65
8 Ga 0.0000 0.5000 0.1227  4 Pd 2.53, 1 Ag 2.53
9 Sm 0.0000 0.5000 0.7547  4 Ag 3.27, 8 Ga 3.32-3.50, 4 Pd 3.42
10 Sm 0.5000 0.0000 0.2453  4 Ag 3.27, 8 Ga 3.32-3.50, 4 Pd 3.42

***

no.,uncorrected energy (eV per atom)
1,-3.9193
2,-8.5719
3,-5.9950
4,-4.3101